Density functional theory data (GGA-PBE) for crystalline CaIr2Pt at its relaxed geometry.

CIF file:
```
data_CaIr2Pt
_cell_length_a 2.843
_cell_length_b 4.818
_cell_length_c 4.886
_cell_angle_alpha 90.00
_cell_angle_beta 90.00
_cell_angle_gamma 90.00
_symmetry_space_group_name_H-M 'P m m m'
_symmetry_Int_Tables_number 47
loop_
_symmetry_equiv_pos_as_xyz
'x,y,z'
'-x,-y,-z'
'-x,-y,z'
'x,y,-z'
'x,-y,-z'
'-x,y,z'
'-x,y,-z'
'x,-y,z'
loop_
_atom_site_label
_atom_site_type_symbol
_atom_site_fract_x
_atom_site_fract_y
_atom_site_fract_z
Ca1 Ca 0.000 0.000 0.000
Ir1 Ir 0.000 0.500 0.500
Ir2 Ir 0.500 0.000 0.500
Pt1 Pt 0.500 0.500 0.000
```

Properties
The calculation puts the volume at 66.9 Å³ per cell. The calculation puts the total magnetic moment at 0.000 μB per atom. For the uncorrected energy, the calculation gives -6.497 eV per atom. For the energy above the most stable polymorph in this dataset, the calculation gives 0.0719 eV per atom.

Density functional theory data (GGA-PBE) for crystalline YZr2Ni at its relaxed geometry.

CIF file:
```
data_YZr2Ni
_cell_length_a 3.460
_cell_length_b 4.466
_cell_length_c 5.868
_cell_angle_alpha 90.00
_cell_angle_beta 106.49
_cell_angle_gamma 90.00
_symmetry_space_group_name_H-M 'P 1 2/m 1'
_symmetry_Int_Tables_number 10
loop_
_symmetry_equiv_pos_as_xyz
'x,y,z'
'-x,-y,-z'
'-x,y,-z'
'x,-y,z'
loop_
_atom_site_label
_atom_site_type_symbol
_atom_site_fract_x
_atom_site_fract_y
_atom_site_fract_z
Y1 Y 0.000 0.000 0.000
Zr1 Zr 0.402 0.500 0.716
Ni1 Ni 0.000 0.000 0.500
```

Properties
The calculation puts the volume at 87.0 Å³ per cell. The calculation puts the total magnetic moment at 0.000 μB per atom. For the uncorrected energy, the calculation gives -7.295 eV per atom. For the energy above the most stable polymorph in this dataset, the calculation gives 0.2022 eV per atom.

Density functional theory data (GGA-PBE) for crystalline BiPdS2O8 at its relaxed geometry.

CIF file:
```
data_BiPdS2O8
_cell_length_a 5.2873
_cell_length_b 5.2873
_cell_length_c 7.3524
_cell_angle_alpha 90.00
_cell_angle_beta 90.00
_cell_angle_gamma 120.00
_symmetry_space_group_name_H-M 'P -3 m 1'
_symmetry_Int_Tables_number 164
_symmetry_space_group_name_Hall '-P 3 2"'
loop_
_atom_site_label
_atom_site_type_symbol
_atom_site_fract_x
_atom_site_fract_y
_atom_site_fract_z
Bi1 Bi 0.0000 0.0000 0.0000
Pd1 Pd 0.0000 0.0000 0.5000
S1 S 0.3333 0.6667 0.1846
O1 O 0.1783 0.3566 0.2512
O2 O 0.3333 0.6667 0.9828
```

Properties
The calculation puts the volume at 178.0 Å³ per cell. The raw formation energy comes out at -12.53 eV/f.u. The calculation puts the total magnetic moment at 0.083 μB per atom. For the uncorrected energy, the calculation gives -5.793 eV per atom.

Density functional theory data (GGA-PBE) for crystalline HgTePt2Se at its relaxed geometry.

CIF file:
```
data_HgTePt2Se
_cell_length_a 4.655
_cell_length_b 4.655
_cell_length_c 6.064
_cell_angle_alpha 90.00
_cell_angle_beta 90.00
_cell_angle_gamma 90.00
_symmetry_space_group_name_H-M 'P 4/m m m'
_symmetry_Int_Tables_number 123
_symmetry_space_group_name_Hall '-P 4 2'
loop_
_atom_site_label
_atom_site_type_symbol
_atom_site_fract_x
_atom_site_fract_y
_atom_site_fract_z
Hg1 Hg 0.000 0.000 0.000
Te1 Te 0.500 0.500 0.000
Pt1 Pt 0.000 0.500 0.500
Se1 Se 0.500 0.500 0.500
```

Properties
The calculation puts the volume at 131.4 Å³ per cell. The raw formation energy comes out at 2.82 eV/f.u. The calculation puts the total magnetic moment at 0.000 μB per atom. For the uncorrected energy, the calculation gives -3.237 eV per atom.

Density functional theory data (GGA-PBE) for crystalline TlIn2IrPd at its relaxed geometry.

CIF file:
```
data_TlIn2IrPd
_cell_length_a 5.505
_cell_length_b 5.505
_cell_length_c 5.040
_cell_angle_alpha 90.00
_cell_angle_beta 90.00
_cell_angle_gamma 90.00
_symmetry_space_group_name_H-M 'P 4/m m m'
_symmetry_Int_Tables_number 123
_symmetry_space_group_name_Hall '-P 4 2'
loop_
_atom_site_label
_atom_site_type_symbol
_atom_site_fract_x
_atom_site_fract_y
_atom_site_fract_z
Tl1 Tl 0.000 0.000 0.000
In1 In 0.000 0.500 0.000
Ir1 Ir 0.000 0.000 0.500
Pd1 Pd 0.500 0.500 0.500
```

Properties
The calculation puts the volume at 152.7 Å³ per cell. The calculation puts the total magnetic moment at 0.000 μB per atom. For the uncorrected energy, the calculation gives -3.052 eV per atom.

Density functional theory data (GGA-PBE) for crystalline InFe2Rh2 at its relaxed geometry.

CIF file:
```
data_InFe2Rh2
_cell_length_a 7.280
_cell_length_b 7.280
_cell_length_c 2.900
_cell_angle_alpha 90.00
_cell_angle_beta 90.00
_cell_angle_gamma 90.00
_symmetry_space_group_name_H-M 'P 4/m b m'
_symmetry_Int_Tables_number 127
_symmetry_space_group_name_Hall '-P 4 2ab'
loop_
_atom_site_label
_atom_site_type_symbol
_atom_site_fract_x
_atom_site_fract_y
_atom_site_fract_z
In1 In 0.000 0.000 0.000
Fe1 Fe 0.159 0.341 0.500
Rh1 Rh 0.136 0.636 0.000
```

Properties
The calculation puts the volume at 153.7 Å³ per cell. The calculation puts the total magnetic moment at 1.412 μB per atom. For the uncorrected energy, the calculation gives -6.848 eV per atom. For the energy above the most stable polymorph in this dataset, the calculation gives 0.0000 eV per atom.